La10S14O | the Alexandria database | PBE | relaxed; V = 24.2 Å³/atom; ΔE_f (raw) = -2309 meV per atom; DOS(E_F) = 0.00 states/eV per atom
1.0
-2.057 -2.474 -14.581
-4.464 -13.697 3.929
-6.990 11.666 6.164
S La O
56 40 4
Direct
0.853 0.245 0.342
0.897 0.005 0.158
0.665 0.882 0.141
0.125 0.524 0.899
0.347 0.505 0.108
0.042 0.875 0.480
0.976 0.759 0.141
0.938 0.105 0.480
0.255 0.647 0.658
0.855 0.875 0.666
0.274 0.875 0.899
0.312 0.292 0.666
0.755 0.097 0.608
0.118 0.259 0.783
0.585 0.226 0.717
0.274 0.915 0.283
0.208 0.188 0.334
0.995 0.153 0.892
0.495 0.603 0.842
0.395 0.562 0.520
0.125 0.024 0.399
0.509 0.868 0.283
0.625 0.458 0.520
0.976 0.375 0.101
0.438 0.958 0.834
0.625 0.645 0.334
0.476 0.335 0.217
0.895 0.375 0.834
0.397 0.239 0.892
0.625 0.726 0.601
0.708 0.375 0.020
0.353 0.011 0.608
0.989 0.597 0.342
0.085 0.368 0.359
0.903 0.511 0.658
0.403 0.745 0.392
0.812 0.145 0.020
0.618 0.835 0.859
0.009 0.726 0.641
0.632 0.991 0.717
0.476 0.375 0.601
0.125 0.792 0.980
0.774 0.875 0.399
0.355 0.688 0.980
0.847 0.739 0.842
0.241 0.382 0.217
0.741 0.524 0.859
0.761 0.653 0.158
0.774 0.491 0.359
0.125 0.605 0.166
0.625 0.226 0.101
0.165 0.024 0.783
0.132 0.415 0.641
0.542 0.062 0.166
0.261 0.103 0.108
0.489 0.147 0.392
0.950 0.044 0.651
0.176 0.550 0.360
0.685 0.310 0.360
0.886 0.886 0.271
0.456 0.550 0.349
0.386 0.114 0.000
0.393 0.299 0.349
0.300 0.440 0.875
0.364 0.136 0.500
0.800 0.926 0.860
0.549 0.143 0.849
0.893 0.544 0.094
0.690 0.050 0.375
0.857 0.706 0.406
0.450 0.810 0.625
0.357 0.951 0.151
0.049 0.200 0.406
0.614 0.614 0.729
0.300 0.451 0.594
0.574 0.700 0.140
0.560 0.435 0.860
0.864 0.364 0.229
0.950 0.324 0.640
0.136 0.636 0.771
0.800 0.206 0.849
0.450 0.799 0.906
0.794 0.643 0.594
0.114 0.386 0.000
0.636 0.864 0.500
0.201 0.107 0.651
0.565 0.426 0.125
0.060 0.200 0.125
0.065 0.940 0.140
0.074 0.935 0.875
0.185 0.824 0.375
0.956 0.607 0.906
0.701 0.050 0.094
0.676 0.315 0.625
0.294 0.700 0.151
0.190 0.815 0.640
0.000 0.000 0.000
0.250 0.750 0.500
0.750 0.250 0.500
0.500 0.500 0.000

LaSO3 | the Alexandria database | PBE | relaxed; V = 12.4 Å³/atom; ΔE_f (raw) = -1486 meV per atom; DOS(E_F) = 0.30 states/eV per atom
1.0
3.958 0.000 0.000
0.000 3.958 0.000
0.000 0.000 3.958
O La S
3 1 1
Direct
0.000 0.000 0.500
0.500 0.000 0.000
0.000 0.500 0.000
0.500 0.500 0.500
0.000 0.000 0.000

La4S3O2 | the Alexandria database | PBE | relaxed; V = 23.5 Å³/atom; ΔE_f (raw) = -2627 meV per atom; DOS(E_F) = 0.31 states/eV per atom
1.0
-0.962 2.275 3.233
-1.274 -6.606 1.708
8.950 4.327 -0.381
O La S
2 4 3
Direct
0.297 0.594 0.633
0.703 0.406 0.367
0.904 0.807 0.642
0.307 0.613 0.882
0.096 0.193 0.358
0.693 0.387 0.118
0.393 0.786 0.247
0.000 0.000 0.000
0.607 0.214 0.753

La20S29O | the Alexandria database | PBE | relaxed; V = 24.9 Å³/atom; ΔE_f (raw) = -2250 meV per atom; distance to the lowest polymorph of the same formula = 0.16 eV/f.u.; DOS(E_F) = 0.00 states/eV per atom
1.0
15.052 -0.020 0.000
-1.014 15.018 0.000
-7.019 -7.499 11.003
S La O
58 40 2
Direct
0.729 0.838 0.831
0.881 0.664 0.141
0.226 0.625 0.101
0.609 0.121 0.164
0.720 0.011 0.642
0.376 0.704 0.020
0.743 0.412 0.391
0.454 0.626 0.520
0.150 0.488 0.395
0.875 0.281 0.906
0.031 0.125 0.406
0.750 0.250 0.500
0.370 0.078 0.358
0.414 0.131 0.641
0.238 0.400 0.895
0.296 0.316 0.672
0.761 0.970 0.142
0.555 0.391 0.512
0.828 0.620 0.858
0.380 0.239 0.209
0.869 0.510 0.282
0.244 0.850 0.338
0.879 0.043 0.488
0.793 0.129 0.988
0.374 0.894 0.828
0.162 0.993 0.891
0.102 0.271 0.109
0.030 0.172 0.791
0.260 0.119 0.782
0.007 0.898 0.169
0.648 0.257 0.669
0.195 0.207 0.336
0.524 0.125 0.899
0.021 0.352 0.609
0.490 0.773 0.359
0.227 0.586 0.718
0.336 0.477 0.218
0.523 0.740 0.859
0.512 0.906 0.662
0.106 0.934 0.480
0.141 0.805 0.012
0.588 0.979 0.331
0.957 0.445 0.836
0.989 0.630 0.709
0.506 0.344 0.105
0.719 0.625 0.594
0.684 0.356 0.980
0.375 0.476 0.601
0.875 0.774 0.399
0.066 0.546 0.172
0.600 0.494 0.838
0.000 0.000 0.000
0.375 0.969 0.094
0.922 0.280 0.291
0.656 0.762 0.162
0.871 0.859 0.664
0.644 0.624 0.328
0.094 0.756 0.605
0.861 0.638 0.494
0.926 0.087 0.869
0.051 0.692 0.376
0.388 0.111 0.994
0.452 0.299 0.594
0.117 0.394 0.006
0.045 0.951 0.653
0.298 0.392 0.347
0.201 0.044 0.405
0.608 0.955 0.906
0.606 0.612 0.723
0.549 0.453 0.343
0.633 0.139 0.777
0.110 0.206 0.657
0.203 0.799 0.843
0.701 0.295 0.153
0.142 0.548 0.847
0.316 0.676 0.624
0.837 0.176 0.369
0.219 0.058 0.131
0.824 0.192 0.661
0.434 0.558 0.859
0.442 0.301 0.876
0.362 0.856 0.223
0.889 0.883 0.277
0.808 0.469 0.631
0.144 0.367 0.506
0.705 0.858 0.406
0.956 0.360 0.157
0.324 0.949 0.641
0.699 0.574 0.141
0.913 0.781 0.839
0.308 0.684 0.359
0.547 0.890 0.095
0.426 0.566 0.124
0.942 0.074 0.161
0.640 0.797 0.595
0.531 0.163 0.339
0.794 0.451 0.905
0.049 0.702 0.094
0.250 0.750 0.500
0.500 0.500 0.000

LaSO2 | the Alexandria database | PBE | relaxed; V = 16.9 Å³/atom; ΔE_f (raw) = -1403 meV per atom; distance to the lowest polymorph of the same formula = 2.15 eV/f.u.; DOS(E_F) = 0.36 states/eV per atom
1.0
4.363 0.000 0.000
0.000 4.363 0.000
2.181 2.181 7.092
La O S
2 4 2
Direct
0.750 0.250 0.500
0.000 0.000 0.000
0.601 0.125 0.250
0.875 0.851 0.750
0.375 0.399 0.750
0.149 0.625 0.250
0.250 0.750 0.500
0.500 0.500 0.000

LaS2O8 | the Alexandria database | PBE | relaxed; V = 13.2 Å³/atom; ΔE_f (raw) = -1734 meV per atom; DOS(E_F) = 0.51 states/eV per atom
1.0
5.275 0.000 0.000
-2.638 4.532 -1.872
0.000 0.007 6.070
O La S
8 1 2
Direct
0.374 0.294 0.780
0.626 0.706 0.220
0.080 0.706 0.220
0.849 0.698 0.567
0.632 0.263 0.201
0.368 0.737 0.799
0.920 0.294 0.780
0.151 0.302 0.433
0.000 0.000 0.000
0.205 0.410 0.696
0.795 0.590 0.304

LaSO4 | the Alexandria database | PBE | relaxed; V = 15.1 Å³/atom; ΔE_f (raw) = -1909 meV per atom; DOS(E_F) = 0.20 states/eV per atom
1.0
-4.627 3.500 -2.179
0.348 -5.805 -2.142
-0.959 -0.488 6.103
O S La
8 2 2
Direct
0.242 0.907 0.334
0.508 0.343 0.166
0.657 0.823 0.166
0.093 0.427 0.334
0.177 0.343 0.834
0.657 0.492 0.834
0.093 0.758 0.666
0.573 0.907 0.666
0.250 0.750 0.500
0.500 0.500 0.000
0.000 0.000 0.000
0.750 0.250 0.500

LaSO3 | the Alexandria database | PBE | relaxed; V = 18.5 Å³/atom; ΔE_f (raw) = -511 meV per atom; DOS(E_F) = 0.69 states/eV per atom
1.0
4.519 0.000 0.000
0.000 4.519 0.000
0.000 0.000 4.519
O S La
3 1 1
Direct
0.000 0.000 0.500
0.500 0.000 0.000
0.000 0.500 0.000
0.500 0.500 0.500
0.000 0.000 0.000

La2S2O | the Alexandria database | PBE | relaxed; V = 23.2 Å³/atom; ΔE_f (raw) = -2672 meV per atom; distance to the lowest polymorph of the same formula = 0.12 eV/f.u.; DOS(E_F) = 0.00 states/eV per atom
1.0
3.955 0.000 -1.051
0.000 7.295 0.000
0.017 0.000 8.027
La S O
4 4 2
Direct
0.445 0.417 0.890
0.163 0.514 0.326
0.555 0.917 0.110
0.837 0.014 0.674
0.960 0.720 0.919
0.799 0.401 0.598
0.040 0.220 0.081
0.201 0.901 0.402
0.405 0.082 0.809
0.595 0.582 0.191

LaSO | the Alexandria database | PBE | relaxed; V = 19.5 Å³/atom; ΔE_f (raw) = -2418 meV per atom; DOS(E_F) = 0.21 states/eV per atom
1.0
4.076 0.008 0.085
1.427 3.818 0.085
0.501 0.348 7.537
La O S
2 2 2
Direct
0.800 0.800 0.697
0.200 0.200 0.303
0.830 0.830 0.388
0.170 0.170 0.612
0.269 0.731 0.000
0.731 0.269 0.000

LaS3O12 | the Alexandria database | PBE | relaxed; V = 17.7 Å³/atom; ΔE_f (raw) = -1401 meV per atom; DOS(E_F) = 0.81 states/eV per atom
1.0
7.678 0.000 3.707
2.944 7.091 3.707
-0.211 -0.141 10.241
O S La
24 6 2
Direct
0.340 0.403 0.368
0.682 0.390 0.127
0.131 0.077 0.038
0.903 0.840 0.868
0.512 0.435 0.965
0.389 0.903 0.868
0.631 0.255 0.538
0.390 0.801 0.127
0.182 0.301 0.627
0.588 0.935 0.465
0.935 0.012 0.465
0.088 0.512 0.965
0.077 0.755 0.038
0.801 0.682 0.127
0.255 0.577 0.538
0.012 0.588 0.465
0.403 0.889 0.368
0.755 0.131 0.038
0.890 0.182 0.627
0.577 0.631 0.538
0.889 0.340 0.368
0.301 0.890 0.627
0.435 0.088 0.965
0.840 0.389 0.868
0.966 0.694 0.001
0.839 0.194 0.501
0.466 0.839 0.501
0.694 0.339 0.001
0.194 0.466 0.501
0.339 0.966 0.001
0.561 0.561 0.316
0.061 0.061 0.816

La3S3O | the Alexandria database | PBE | relaxed; V = 28.5 Å³/atom; ΔE_f (raw) = -2270 meV per atom; distance to the lowest polymorph of the same formula = 1.72 eV/f.u.; DOS(E_F) = 0.48 states/eV per atom
1.0
7.181 -1.044 -1.417
-2.657 6.752 -1.417
-2.657 -3.353 6.029
La S O
3 3 1
Direct
0.997 0.997 0.688
0.997 0.688 0.997
0.688 0.997 0.997
0.580 0.580 0.011
0.011 0.580 0.580
0.580 0.011 0.580
0.949 0.949 0.949

- Which of these has the highest V?
  La3S3O